(1)
VASP calculation (PBE-GGA) on crystalline Cs2Cd3Sn4Hg at its relaxed geometry.

Structure (POSCAR):
```
Cs2Cd3Sn4Hg
1.0
5.069 0.000 0.000
0.000 5.069 0.000
0.000 0.000 12.620
Cs Cd Sn Hg
2 3 4 1
direct
0.000 0.500 0.246
0.500 0.000 0.754
0.000 0.000 0.000
0.000 0.500 0.636
0.500 0.000 0.364
0.000 0.000 0.500
0.000 0.500 0.872
0.500 0.000 0.128
0.500 0.500 0.500
0.500 0.500 0.000
```

Formation energy from the elements   -0.12 eV per atom

***

(2)
VASP calculation (PBE-GGA) on crystalline Cs2Cd4SnHg3 at its relaxed geometry.

Structure (POSCAR):
```
Cs2Cd4SnHg3
1.0
5.330 0.000 0.000
0.000 5.330 0.000
0.000 0.000 11.786
Cs Cd Sn Hg
2 4 1 3
direct
0.000 0.500 0.250
0.500 0.000 0.750
0.000 0.000 0.000
0.000 0.500 0.619
0.500 0.000 0.381
0.500 0.500 0.000
0.000 0.000 0.500
0.000 0.500 0.874
0.500 0.000 0.126
0.500 0.500 0.500
```

Formation energy from the elements   -0.13 eV per atom

***

(3)
VASP calculation (PBE-GGA) on crystalline Cs2SrCd3Hg12 at its relaxed geometry.

Structure (POSCAR):
```
Cs2SrCd3Hg12
1.0
5.334 3.080 7.488
-5.334 3.080 7.488
0.000 -6.160 7.488
Cs Sr Cd Hg
2 1 3 12
direct
0.097 0.097 0.097
0.903 0.903 0.903
0.500 0.500 0.500
0.000 0.500 0.500
0.500 0.000 0.500
0.500 0.500 0.000
0.131 0.638 0.638
0.169 0.169 0.483
0.169 0.483 0.169
0.362 0.362 0.869
0.362 0.869 0.362
0.483 0.169 0.169
0.517 0.831 0.831
0.638 0.131 0.638
0.638 0.638 0.131
0.831 0.517 0.831
0.831 0.831 0.517
0.869 0.362 0.362
```

Formation energy from the elements   -0.05 eV per atom

***

(4)
VASP calculation (PBE-GGA) on crystalline Cs2CdHg2Te4 at its relaxed geometry.

Structure (POSCAR):
```
Cs2CdHg2Te4
1.0
9.383 -2.273 0.000
9.383 2.273 0.000
-2.578 0.000 8.292
Cs Cd Hg Te
2 1 2 4
direct
0.126 0.126 0.051
0.874 0.874 0.949
0.000 0.000 0.500
0.334 0.334 0.517
0.666 0.666 0.483
0.214 0.214 0.692
0.484 0.484 0.719
0.516 0.516 0.281
0.786 0.786 0.308
```

ΔE_f (raw)   -0.539 eV/atom